1.
Here is PrNiPH after structural relaxation from the Alexandria database. Energies are from PBE.

Cell: 3.9188 3.9188 7.7538 Å, 90.00 90.00 90.00°
Positions (direct):
Pr: 0.2500 0.2500 0.1814
Pr: 0.7500 0.7500 0.8186
Ni: 0.2500 0.7500 0.5000
Ni: 0.7500 0.2500 0.5000
P: 0.2500 0.2500 0.6518
P: 0.7500 0.7500 0.3482
H: 0.2500 0.7500 0.0000
H: 0.7500 0.2500 0.0000

Calculated values
Volume   14.9 A^3/atom
Density of states at the Fermi level   0.751 states/eV per atom

***

2.
Here is Nd8TmTh2 after structural relaxation from the Alexandria database. Energies are from PBE.

Cell: 9.5096 9.5096 9.5096 Å, 144.88 128.28 64.06°
Positions (direct):
Nd: 0.1570 0.3630 0.7940
Nd: 0.1598 0.1598 0.0000
Nd: 0.2937 0.0000 0.2937
Nd: 0.4311 0.6370 0.7940
Nd: 0.5689 0.3630 0.2060
Nd: 0.7063 0.0000 0.7063
Nd: 0.8402 0.8402 0.0000
Nd: 0.8430 0.6370 0.2060
Tm: 0.0000 0.5000 0.5000
Th: 0.2992 0.7992 0.5000
Th: 0.7008 0.2008 0.5000

Calculated values
Volume   34.9 A^3/atom
Density of states at the Fermi level   1.631 states/eV per atom
Energy of formation from the pure elements   0.16 eV/atom

***

3.
Here is AgSbS3 after structural relaxation from the Alexandria database. Energies are from PBE.

Cell: 5.0194 5.0194 5.0194 Å, 90.00 90.00 90.00°
Positions (direct):
Ag: 0.0000 0.0000 0.0000
Sb: 0.5000 0.5000 0.5000
S: 0.0000 0.5000 0.5000
S: 0.5000 0.0000 0.5000
S: 0.5000 0.5000 0.0000

Calculated values
Volume   25.3 A^3/atom
ΔE to the lowest computed polymorph   602 meV/atom
Density of states at the Fermi level   0.704 states/eV per atom

***

4.
Here is BiRhO3 after structural relaxation from the Alexandria database. Energies are from PBE.

Cell: 5.5804 5.5804 6.6107 Å, 100.99 100.99 42.85°
Positions (direct):
Bi: 0.1139 0.1139 0.3459
Bi: 0.8861 0.8861 0.6541
Rh: 0.3648 0.3648 0.0858
Rh: 0.6352 0.6352 0.9142
O: 0.1611 0.1611 0.9832
O: 0.3229 0.3229 0.3800
O: 0.4289 0.4289 0.8160
O: 0.5711 0.5711 0.1840
O: 0.6771 0.6771 0.6200
O: 0.8389 0.8389 0.0168

Calculated values
Volume   13.7 A^3/atom
Density of states at the Fermi level   0.083 states/eV per atom

***

5.
Here is CaInNF2 after structural relaxation from the Alexandria database. Energies are from PBE.

Cell: 4.2390 4.2390 4.9745 Å, 90.00 90.00 90.00°
Positions (direct):
Ca: 0.0000 0.0000 0.0000
In: 0.5000 0.5000 0.5000
N: 0.0000 0.0000 0.5000
F: 0.0000 0.5000 0.0000
F: 0.5000 0.0000 0.0000

Calculated values
Volume   17.9 A^3/atom
ΔE to the lowest computed polymorph   174 meV/atom
Density of states at the Fermi level   0.268 states/eV per atom

***

6.
Here is Sm2HRu after structural relaxation from the Alexandria database. Energies are from PBE.

Cell: 3.3146 3.3146 7.1526 Å, 90.00 90.00 90.00°
Positions (direct):
Sm: 0.0000 0.0000 0.2462
Sm: 0.0000 0.0000 0.7538
H: 0.5000 0.5000 0.5000
Ru: 0.5000 0.5000 0.0000

Calculated values
Volume   19.6 A^3/atom
ΔE to the lowest computed polymorph   164 meV/atom
Density of states at the Fermi level   0.766 states/eV per atom

***

7.
Here is NaAcC after structural relaxation from the Alexandria database. Energies are from PBE.

Cell: 4.5091 4.5091 12.2370 Å, 95.75 95.75 51.41°
Positions (direct):
Na: 0.1286 0.1286 0.3898
Na: 0.8714 0.8714 0.6102
Ac: 0.3747 0.3747 0.1249
Ac: 0.6253 0.6253 0.8751
C: 0.0785 0.0785 0.0262
C: 0.9215 0.9215 0.9738

Calculated values
Volume   32.2 A^3/atom
Density of states at the Fermi level   0.508 states/eV per atom
Energy of formation from the pure elements   0.01 eV/atom

***

8.
Here is RbNa5Sn2 after structural relaxation from the Alexandria database. Energies are from PBE.

Cell: 9.9257 9.9257 9.9257 Å, 127.13 127.13 78.04°
Positions (direct):
Rb: 0.2500 0.2500 0.0000
Rb: 0.7500 0.7500 0.0000
Na: 0.0000 0.0000 0.0000
Na: 0.0446 0.5446 0.8277
Na: 0.2169 0.0446 0.5000
Na: 0.2831 0.7831 0.8277
Na: 0.4554 0.2831 0.5000
Na: 0.5000 0.5000 0.0000
Na: 0.5446 0.7169 0.5000
Na: 0.7169 0.2169 0.1723
Na: 0.7831 0.9554 0.5000
Na: 0.9554 0.4554 0.1723
Sn: 0.1262 0.3738 0.5000
Sn: 0.3738 0.8738 0.2476
Sn: 0.6262 0.1262 0.7524
Sn: 0.8738 0.6262 0.5000

Calculated values
Volume   37.6 A^3/atom
Density of states at the Fermi level   0.467 states/eV per atom
Energy of formation from the pure elements   -0.06 eV/atom

***

9.
Here is Zn2MoCl after structural relaxation from the Alexandria database. Energies are from PBE.

Cell: 2.9269 2.9269 8.0593 Å, 90.00 90.00 106.41°
Positions (direct):
Zn: 0.0000 0.0000 0.2444
Zn: 0.0000 0.0000 0.7556
Mo: 0.5000 0.5000 0.0000
Cl: 0.5000 0.5000 0.5000

Calculated values
Volume   16.6 A^3/atom
ΔE to the lowest computed polymorph   34 meV/atom
Density of states at the Fermi level   0.482 states/eV per atom

***

10.
Here is PuTlF after structural relaxation from the Alexandria database. Energies are from PBE.

Cell: 6.5460 6.5460 6.5460 Å, 149.34 149.34 43.91°
Positions (direct):
Pu: 0.0000 0.0000 0.0000
Tl: 0.2786 0.2786 0.0000
F: 0.5426 0.5426 0.0000

Calculated values
Volume   24.2 A^3/atom
ΔE to the lowest computed polymorph   160 meV/atom
Density of states at the Fermi level   3.384 states/eV per atom

***

11.
Here is Zr3BePb after structural relaxation from the Alexandria database. Energies are from PBE.

Cell: 5.3530 5.3530 5.3530 Å, 90.00 90.00 90.00°
Positions (direct):
Zr: 0.0000 0.0000 0.5000
Zr: 0.0000 0.5000 0.0000
Zr: 0.5000 0.0000 0.0000
Be: 0.5000 0.5000 0.5000
Pb: 0.0000 0.0000 0.0000

Calculated values
Volume   30.7 A^3/atom
ΔE to the lowest computed polymorph   1497 meV/atom
Density of states at the Fermi level   1.135 states/eV per atom
Energy of formation from the pure elements   1.51 eV/atom

***

12.
Here is LaDyPt10 after structural relaxation from the Alexandria database. Energies are from PBE.

Cell: 4.4483 5.4146 9.3411 Å, 90.00 90.00 90.00°
Positions (direct):
La: 0.0000 0.0000 0.0000
Dy: 0.0000 0.5000 0.5000
Pt: 0.0000 0.0000 0.3369
Pt: 0.0000 0.0000 0.6631
Pt: 0.0000 0.5000 0.1718
Pt: 0.0000 0.5000 0.8282
Pt: 0.5000 0.0000 0.5000
Pt: 0.5000 0.2515 0.2531
Pt: 0.5000 0.2515 0.7469
Pt: 0.5000 0.5000 0.0000
Pt: 0.5000 0.7485 0.2531
Pt: 0.5000 0.7485 0.7469

Calculated values
Volume   18.7 A^3/atom
Density of states at the Fermi level   0.747 states/eV per atom
Energy of formation from the pure elements   -0.73 eV/atom

***

Number 1: uncorrected energy -5.7469 eV/atom. Number 2: uncorrected energy -5.0664 eV/atom. Number 3: uncorrected energy -3.3522 eV/atom. Number 4: uncorrected energy -6.1264 eV/atom. Number 5: uncorrected energy -4.7145 eV/atom. Number 6: uncorrected energy -5.6660 eV/atom. Number 7: uncorrected energy -4.8752 eV/atom. Number 8: uncorrected energy -2.0046 eV/atom. Number 9: uncorrected energy -3.6922 eV/atom. Number 10: uncorrected energy -7.4703 eV/atom. Number 11: uncorrected energy -5.1098 eV/atom. Number 12: uncorrected energy -6.5595 eV/atom.